[1]
Material: Sm2Tl3Rh2
Method: DFT, PBE-GGA
State: relaxed

Output
ΔE_f, kJ per mole of atoms: -44
Electronic total energy, eV/cell: -68.84

a b c (Å): 4.182 21.584 3.870
angles (deg): 90.00 90.00 90.00
Space group Cmmm (No. 65)
Inequivalent atoms, fractional coordinates:
Sm: 0.000 0.177 0.000 x4
Tl: 0.000 0.000 0.000 x2
Tl: 0.000 0.421 0.500 x4
Rh: 0.000 0.292 0.500 x4

[2]
Material: KPmTl2F6
Method: DFT, PBE-GGA
State: relaxed

Output
Electronic total energy, eV/cell: -101.46
Energy relative to the elements, uncorrected, kcal/mol of atoms: -66.7

a b c (Å): 11.514 6.709 6.757
angles (deg): 90.00 124.83 90.00
Space group C2/m (No. 12)
Inequivalent atoms, fractional coordinates:
K: 0.000 0.000 0.000 x2
Pm: 0.000 0.500 0.500 x2
Tl: 0.247 0.000 0.721 x4
F: 0.070 0.264 0.346 x8
F: 0.223 0.500 0.840 x4

[3]
Material: TlCuPb2
Method: DFT, PBE-GGA
State: relaxed

Output
ΔE_f, kJ per mole of atoms: 15
Electronic total energy, eV/cell: -39.75

a b c (Å): 4.2499 4.2499 22.3310
angles (deg): 90.00 90.00 120.00
Space group R3m (No. 160, hexagonal axes)
Inequivalent atoms, fractional coordinates:
Tl: 0.0000 0.0000 0.0000 x3
Cu: 0.0000 0.0000 0.1635 x3
Pb: 0.0000 0.0000 0.5552 x3
Pb: 0.0000 0.0000 0.7743 x3

[4]
Material: TaTi5Pd2Rh2
Method: DFT, PBE-GGA
State: relaxed

Output
ΔE_f, kJ per mole of atoms: -20
Electronic total energy, eV/cell: -156.96

a b c (Å): 10.721 10.721 2.989
angles (deg): 90.00 90.00 90.00
Space group P4/mbm (No. 127)
Inequivalent atoms, fractional coordinates:
Ta: 0.000 0.000 0.000 x2
Ti: 0.000 0.500 0.500 x2
Ti: 0.131 0.166 0.500 x8
Pd: 0.154 0.654 0.000 x4
Rh: 0.138 0.362 0.000 x4

[5]
Material: CsTlTcF6
Method: DFT, PBE-GGA
State: relaxed

Output
Electronic total energy, eV/cell: -91.24
Energy relative to the elements, uncorrected, kcal/mol of atoms: -53.3

a b c (Å): 5.858 5.858 12.101
angles (deg): 90.00 90.00 90.00
Space group P4_2nm (No. 102)
Inequivalent atoms, fractional coordinates:
Cs: 0.000 0.000 0.000 x2
Tl: 0.000 0.000 0.325 x2
Tc: 0.000 0.000 0.665 x2
F: 0.160 0.160 0.545 x4
F: 0.169 0.169 0.782 x4
F: 0.238 0.762 0.669 x4

[6]
Material: LaLuCoAg
Method: DFT, PBE-GGA
State: relaxed

Output
ΔE_f, kJ per mole of atoms: -11
Electronic total energy, eV/cell: -79.45

a b c (Å): 7.117 7.117 7.117
angles (deg): 90.00 90.00 90.00
Space group F-43m (No. 216)
Inequivalent atoms, fractional coordinates:
La: 0.000 0.000 0.000 x4
Lu: 0.000 0.000 0.500 x4
Co: 0.250 0.250 0.250 x4
Ag: 0.250 0.250 0.750 x4

[7]
Material: NaGdTlCd
Method: DFT, PBE-GGA
State: relaxed

Output
ΔE_f, kJ per mole of atoms: -21
Electronic total energy, eV/cell: -78.14

a b c (Å): 7.500 7.500 7.500
angles (deg): 90.00 90.00 90.00
Space group F-43m (No. 216)
Inequivalent atoms, fractional coordinates:
Na: 0.000 0.000 0.000 x4
Gd: 0.000 0.000 0.500 x4
Tl: 0.250 0.250 0.250 x4
Cd: 0.250 0.250 0.750 x4

[8]
Material: KMnAlCl6
Method: DFT, PBE-GGA
State: relaxed

Output
Electronic total energy, eV/cell: -72.73
Energy relative to the elements, uncorrected, kcal/mol of atoms: -28.9

a b c (Å): 6.1482 6.1482 14.1467
angles (deg): 90.00 90.00 120.00
Space group P-31c (No. 163)
Inequivalent atoms, fractional coordinates:
K: 0.0000 0.0000 0.0000 x2
Mn: 0.3333 0.6667 0.2500 x2
Al: 0.3333 0.6667 0.7500 x2
Cl: 0.0002 0.3712 0.1563 x12

[9]
Material: ZrTa2Al
Method: DFT, PBE-GGA
State: relaxed

Output
ΔE_f, kJ per mole of atoms: -16
Electronic total energy, eV/cell: -36.66

a b c (Å): 3.437 3.437 6.370
angles (deg): 90.00 90.00 90.00
Space group P4mm (No. 99)
Inequivalent atoms, fractional coordinates:
Zr: 0.000 0.000 0.000 x1
Ta: 0.000 0.000 0.502 x1
Ta: 0.500 0.500 0.732 x1
Al: 0.500 0.500 0.269 x1

[10]
Material: NdZn3Pd3
Method: DFT, PBE-GGA
State: relaxed

Output
ΔE_f, kJ per mole of atoms: -43
Electronic total energy, eV/cell: -54.54
Polymorph energy (0 for the lowest one), eV/f.u.: 0.338

a b c (Å): 5.829 5.893 8.900
angles (deg): 72.65 81.94 60.57
Space group P-1 (No. 2)
Inequivalent atoms, fractional coordinates:
Nd: 0.163 0.249 0.331 x2
Zn: 0.169 0.611 0.975 x2
Zn: 0.180 0.066 0.862 x2
Zn: 0.444 0.776 0.122 x2
Pd: 0.150 0.742 0.369 x2
Pd: 0.341 0.737 0.673 x2
Pd: 0.356 0.276 0.614 x2

[11]
Material: Nd2InGe
Method: DFT, PBE-GGA
State: relaxed

Output
ΔE_f, kJ per mole of atoms: -63
Electronic total energy, eV/cell: -39.04

a b c (Å): 6.232 4.240 8.993
angles (deg): 90.00 107.77 90.00
Space group P2_1/m (No. 11)
Inequivalent atoms, fractional coordinates:
Nd: 0.193 0.250 0.420 x2
Nd: 0.278 0.750 0.061 x2
In: 0.373 0.750 0.709 x2
Ge: 0.129 0.250 0.794 x2

[12]
Material: TiAg3Cl8
Method: DFT, PBE-GGA
State: relaxed

Output
Electronic total energy, eV/cell: -83.02
Energy relative to the elements, uncorrected, kcal/mol of atoms: -19.8

a b c (Å): 6.985 11.896 7.761
angles (deg): 90.00 90.00 90.00
Space group C222 (No. 21)
Inequivalent atoms, fractional coordinates:
Ti: 0.000 0.000 0.000 x2
Ag: 0.000 0.000 0.500 x2
Ag: 0.250 0.250 0.259 x4
Cl: 0.000 0.204 0.000 x4
Cl: 0.000 0.211 0.500 x4
Cl: 0.241 0.010 0.209 x8

Question: Which formula does entry 10 have?
Answer: NdZn3Pd3